(1)
# BaAs2Br

An optimized crystal structure of BaAs2Br (PBE, the Alexandria database).

abc: 3.761 3.761 8.853
angles: 90.00 90.00 90.00
Fractional coordinates of all 4 atoms:
Ba1 0.000 0.000 0.000
As1 0.000 0.000 0.623
As2 0.500 0.500 0.724
Br1 0.500 0.500 0.209

Properties
Spin magnetization (μB/cell): 0.0
Energy relative to the elements, uncorrected (eV per atom): -0.773
Electronic total energy (eV/atom): -4.00
Space-group type: No. 99

(2)
# Ba4As2Br3

An optimized crystal structure of Ba4As2Br3 (PBE, the Alexandria database).

abc: 4.793 4.793 19.124
angles: 90.02 90.02 59.97
Fractional coordinates of all 9 atoms:
Ba1 0.001 0.001 0.318
Ba2 0.334 0.334 0.118
Ba3 0.666 0.666 0.882
Ba4 0.999 0.999 0.682
As1 0.333 0.333 0.792
As2 0.667 0.667 0.208
Br1 0.000 0.000 0.000
Br2 0.334 0.334 0.404
Br3 0.666 0.666 0.596

Properties
Spin magnetization (μB/cell): 1.1
Energy relative to the elements, uncorrected (eV per atom): -1.568
Electronic total energy (eV/atom): -4.01
Space-group type: No. 12

(3)
# BaAsBr

An optimized crystal structure of BaAsBr (PBE, the Alexandria database).

abc: 10.547 10.547 10.547
angles: 157.03 34.03 155.24
Fractional coordinates of all 6 atoms:
Ba1 0.130 0.000 0.130
Ba2 0.870 0.000 0.870
As1 0.529 0.529 0.000
As2 0.883 0.383 0.500
Br1 0.309 0.999 0.309
Br2 0.690 0.999 0.691

Properties
Spin magnetization (μB/cell): 0.0
Energy relative to the elements, uncorrected (eV per atom): -1.472
Electronic total energy (eV/atom): -4.22
Space-group type: No. 44

(4)
# BaAsBr2

An optimized crystal structure of BaAsBr2 (PBE, the Alexandria database).

abc: 4.206 5.226 6.429
angles: 90.00 90.00 90.00
Fractional coordinates of all 4 atoms:
Ba1 0.000 0.000 0.000
As1 0.500 0.500 0.855
Br1 0.000 0.000 0.511
Br2 0.500 0.500 0.235

Properties
Spin magnetization (μB/cell): 0.0
Energy relative to the elements, uncorrected (eV per atom): -0.888
Electronic total energy (eV/atom): -3.37
Space-group type: No. 25

(5)
# BaAsCBr2

An optimized crystal structure of BaAsCBr2 (PBE, the Alexandria database).

abc: 5.585 5.585 4.165
angles: 90.00 90.00 90.00
Fractional coordinates of all 5 atoms:
Ba1 0.000 0.000 0.000
As1 0.500 0.500 0.000
C1 0.500 0.500 0.500
Br1 0.000 0.500 0.500
Br2 0.500 0.000 0.500

Properties
Spin magnetization (μB/cell): 0.0
Energy relative to the elements, uncorrected (eV per atom): 0.072
Electronic total energy (eV/atom): -3.76
Space-group type: No. 123

(6)
# BaAsCBr2

An optimized crystal structure of BaAsCBr2 (PBE, the Alexandria database).

abc: 6.277 6.277 7.613
angles: 90.00 90.00 90.00
Fractional coordinates of all 5 atoms:
Ba1 0.000 0.000 0.000
As1 0.000 0.000 0.500
C1 0.500 0.500 0.500
Br1 0.000 0.500 0.000
Br2 0.500 0.000 0.000

Properties
Spin magnetization (μB/cell): 5.0
Energy relative to the elements, uncorrected (eV per atom): 1.029
Electronic total energy (eV/atom): -2.80
Space-group type: No. 123

(7)
# BaCaAsBr

An optimized crystal structure of BaCaAsBr (PBE, the Alexandria database).

abc: 4.567 4.567 8.041
angles: 106.62 106.62 59.91
Fractional coordinates of all 4 atoms:
Ba1 0.000 0.000 0.000
Ca1 0.524 0.524 0.577
As1 0.252 0.252 0.758
Br1 0.770 0.770 0.306

Properties
Spin magnetization (μB/cell): 0.0
Energy relative to the elements, uncorrected (eV per atom): -1.548
Electronic total energy (eV/atom): -4.11
Space-group type: No. 8

(8)
# BaCaAsBr2

An optimized crystal structure of BaCaAsBr2 (PBE, the Alexandria database).

abc: 5.997 5.997 6.181
angles: 90.00 90.00 90.00
Fractional coordinates of all 5 atoms:
Ba1 0.000 0.000 0.000
Ca1 0.500 0.500 0.500
As1 0.000 0.000 0.500
Br1 0.000 0.500 0.000
Br2 0.500 0.000 0.000

Properties
Spin magnetization (μB/cell): 0.5
Energy relative to the elements, uncorrected (eV per atom): -0.772
Electronic total energy (eV/atom): -3.16
Space-group type: No. 123

(9)
# BaCaAs2Br

An optimized crystal structure of BaCaAs2Br (PBE, the Alexandria database).

abc: 5.447 5.447 5.684
angles: 90.00 90.00 90.00
Fractional coordinates of all 5 atoms:
Ba1 0.000 0.000 0.000
Ca1 0.500 0.500 0.500
As1 0.000 0.500 0.500
As2 0.500 0.000 0.500
Br1 0.500 0.500 0.000

Properties
Spin magnetization (μB/cell): 0.7
Energy relative to the elements, uncorrected (eV per atom): -0.706
Electronic total energy (eV/atom): -3.68
Space-group type: No. 123

(10)
# BaCaAs2Br

An optimized crystal structure of BaCaAs2Br (PBE, the Alexandria database).

abc: 5.731 5.731 6.031
angles: 90.00 90.00 90.00
Fractional coordinates of all 5 atoms:
Ba1 0.000 0.000 0.000
Ca1 0.500 0.500 0.500
As1 0.000 0.500 0.000
As2 0.500 0.000 0.000
Br1 0.000 0.000 0.500

Properties
Spin magnetization (μB/cell): 0.0
Energy relative to the elements, uncorrected (eV per atom): -0.119
Electronic total energy (eV/atom): -3.10
Space-group type: No. 123

(11)
# BaCaAsBr2

An optimized crystal structure of BaCaAsBr2 (PBE, the Alexandria database).

abc: 5.502 5.502 5.833
angles: 90.00 90.00 90.00
Fractional coordinates of all 5 atoms:
Ba1 0.000 0.000 0.000
Ca1 0.500 0.500 0.500
As1 0.500 0.500 0.000
Br1 0.000 0.500 0.500
Br2 0.500 0.000 0.500

Properties
Spin magnetization (μB/cell): 1.0
Energy relative to the elements, uncorrected (eV per atom): -1.315
Electronic total energy (eV/atom): -3.70
Space-group type: No. 123

(12)
# Ba4AsBr2Cl

An optimized crystal structure of Ba4AsBr2Cl (PBE, the Alexandria database).

abc: 8.079 4.733 8.287
angles: 90.00 109.35 90.00
Fractional coordinates of all 8 atoms:
Ba1 0.235 0.000 0.227
Ba2 0.247 0.500 0.768
Ba3 0.753 0.500 0.232
Ba4 0.765 0.000 0.773
As1 0.000 0.500 0.000
Br1 0.000 0.000 0.500
Br2 0.500 0.500 0.500
Cl1 0.500 0.000 0.000

Properties
Spin magnetization (μB/cell): 0.0
Energy relative to the elements, uncorrected (eV per atom): -1.649
Electronic total energy (eV/atom): -3.84
Space-group type: No. 10

(13)
# BaAs2BrCl

An optimized crystal structure of BaAs2BrCl (PBE, the Alexandria database).

abc: 4.862 4.862 6.593
angles: 90.00 90.00 90.00
Fractional coordinates of all 5 atoms:
Ba1 0.000 0.000 0.000
As1 0.000 0.500 0.500
As2 0.500 0.000 0.500
Br1 0.500 0.500 0.000
Cl1 0.500 0.500 0.500

Properties
Spin magnetization (μB/cell): 0.0
Energy relative to the elements, uncorrected (eV per atom): -0.317
Electronic total energy (eV/atom): -3.27
Space-group type: No. 123

(14)
# Ba4AsBrCl2

An optimized crystal structure of Ba4AsBrCl2 (PBE, the Alexandria database).

abc: 7.999 4.707 8.167
angles: 90.00 109.68 90.00
Fractional coordinates of all 8 atoms:
Ba1 0.241 0.000 0.233
Ba2 0.250 0.500 0.765
Ba3 0.750 0.500 0.235
Ba4 0.759 0.000 0.767
As1 0.000 0.500 0.000
Br1 0.000 0.000 0.500
Cl1 0.500 0.000 0.000
Cl2 0.500 0.500 0.500

Properties
Spin magnetization (μB/cell): 0.0
Energy relative to the elements, uncorrected (eV per atom): -1.695
Electronic total energy (eV/atom): -3.91
Space-group type: No. 10

(15)
# BaAs2BrCl

An optimized crystal structure of BaAs2BrCl (PBE, the Alexandria database).

abc: 6.875 6.875 6.078
angles: 90.00 90.00 90.00
Fractional coordinates of all 5 atoms:
Ba1 0.000 0.000 0.000
As1 0.000 0.500 0.000
As2 0.500 0.000 0.000
Br1 0.000 0.000 0.500
Cl1 0.500 0.500 0.500

Properties
Spin magnetization (μB/cell): 5.0
Energy relative to the elements, uncorrected (eV per atom): 0.335
Electronic total energy (eV/atom): -2.61
Space-group type: No. 123

(16)
# Ba6CuAs2Br3

An optimized crystal structure of Ba6CuAs2Br3 (PBE, the Alexandria database).

abc: 8.236 8.236 8.493
angles: 99.43 99.43 119.80
Fractional coordinates of all 12 atoms:
Ba1 0.088 0.426 0.778
Ba2 0.235 0.235 0.225
Ba3 0.426 0.088 0.778
Ba4 0.574 0.912 0.222
Ba5 0.765 0.765 0.775
Ba6 0.912 0.574 0.222
Cu1 0.500 0.500 0.000
As1 0.167 0.833 0.000
As2 0.833 0.167 0.000
Br1 0.000 0.000 0.500
Br2 0.328 0.672 0.500
Br3 0.672 0.328 0.500

Properties
Spin magnetization (μB/cell): 1.9
Energy relative to the elements, uncorrected (eV per atom): -1.290
Electronic total energy (eV/atom): -3.79
Space-group type: No. 12

(17)
# Ba2DyAs2Br2

An optimized crystal structure of Ba2DyAs2Br2 (PBE, the Alexandria database).

abc: 9.277 9.277 9.277
angles: 145.63 145.63 49.40
Fractional coordinates of all 7 atoms:
Ba1 0.124 0.124 0.000
Ba2 0.876 0.876 0.000
Dy1 0.500 0.500 0.000
As1 0.000 0.500 0.500
As2 0.500 0.000 0.500
Br1 0.320 0.320 0.000
Br2 0.680 0.680 0.000

Properties
Spin magnetization (μB/cell): 0.0
Energy relative to the elements, uncorrected (eV per atom): -1.494
Electronic total energy (eV/atom): -4.51
Space-group type: No. 139

(18)
# BaAs2BrF

An optimized crystal structure of BaAs2BrF (PBE, the Alexandria database).

abc: 4.593 4.593 6.339
angles: 90.00 90.00 90.00
Fractional coordinates of all 5 atoms:
Ba1 0.000 0.000 0.000
As1 0.000 0.500 0.500
As2 0.500 0.000 0.500
Br1 0.500 0.500 0.000
F1 0.000 0.000 0.500

Properties
Spin magnetization (μB/cell): 0.5
Energy relative to the elements, uncorrected (eV per atom): -0.714
Electronic total energy (eV/atom): -3.67
Space-group type: No. 123

(19)
# BaAsBr2F

An optimized crystal structure of BaAsBr2F (PBE, the Alexandria database).

abc: 5.848 5.848 4.134
angles: 90.00 90.00 90.00
Fractional coordinates of all 5 atoms:
Ba1 0.000 0.000 0.000
As1 0.500 0.500 0.000
Br1 0.000 0.500 0.500
Br2 0.500 0.000 0.500
F1 0.500 0.500 0.500

Properties
Spin magnetization (μB/cell): 1.9
Energy relative to the elements, uncorrected (eV per atom): -1.166
Electronic total energy (eV/atom): -3.52
Space-group type: No. 123

(20)
# Ba8As3Br4F

An optimized crystal structure of Ba8As3Br4F (PBE, the Alexandria database).

abc: 9.549 9.549 9.549
angles: 58.77 58.77 58.77
Fractional coordinates of all 16 atoms:
Ba1 0.240 0.740 0.740
Ba2 0.242 0.242 0.242
Ba3 0.260 0.260 0.760
Ba4 0.260 0.760 0.260
Ba5 0.740 0.240 0.740
Ba6 0.740 0.740 0.240
Ba7 0.758 0.758 0.758
Ba8 0.760 0.260 0.260
As1 0.000 0.000 0.500
As2 0.000 0.500 0.000
As3 0.500 0.000 0.000
Br1 0.000 0.000 0.000
Br2 0.000 0.500 0.500
Br3 0.500 0.000 0.500
Br4 0.500 0.500 0.000
F1 0.500 0.500 0.500

Properties
Spin magnetization (μB/cell): 0.0
Energy relative to the elements, uncorrected (eV per atom): -1.701
Electronic total energy (eV/atom): -4.07
Space-group type: No. 166

(21)
# BaAs2BrF

An optimized crystal structure of BaAs2BrF (PBE, the Alexandria database).

abc: 4.524 4.524 6.357
angles: 90.00 90.00 90.00
Fractional coordinates of all 5 atoms:
Ba1 0.000 0.000 0.000
As1 0.000 0.500 0.500
As2 0.500 0.000 0.500
Br1 0.500 0.500 0.000
F1 0.500 0.500 0.500

Properties
Spin magnetization (μB/cell): 0.0
Energy relative to the elements, uncorrected (eV per atom): -0.803
Electronic total energy (eV/atom): -3.76
Space-group type: No. 123

(22)
# BaFeAs2Br

An optimized crystal structure of BaFeAs2Br (PBE, the Alexandria database).

abc: 4.669 4.669 6.020
angles: 90.00 90.00 90.00
Fractional coordinates of all 5 atoms:
Ba1 0.000 0.000 0.000
Fe1 0.500 0.500 0.500
As1 0.000 0.500 0.500
As2 0.500 0.000 0.500
Br1 0.500 0.500 0.000

Properties
Spin magnetization (μB/cell): 3.2
Energy relative to the elements, uncorrected (eV per atom): -0.556
Electronic total energy (eV/atom): -4.83
Space-group type: No. 123

(23)
# BaGeAs2Br

An optimized crystal structure of BaGeAs2Br (PBE, the Alexandria database).

abc: 6.229 6.229 5.995
angles: 90.00 90.00 90.00
Fractional coordinates of all 5 atoms:
Ba1 0.000 0.000 0.000
Ge1 0.500 0.500 0.500
As1 0.000 0.500 0.000
As2 0.500 0.000 0.000
Br1 0.000 0.000 0.500

Properties
Spin magnetization (μB/cell): 2.2
Energy relative to the elements, uncorrected (eV per atom): 0.711
Electronic total energy (eV/atom): -2.79
Space-group type: No. 123

(24)
# BaGeAs2Br

An optimized crystal structure of BaGeAs2Br (PBE, the Alexandria database).

abc: 4.980 4.980 5.937
angles: 90.00 90.00 90.00
Fractional coordinates of all 5 atoms:
Ba1 0.000 0.000 0.000
Ge1 0.500 0.500 0.500
As1 0.000 0.500 0.500
As2 0.500 0.000 0.500
Br1 0.500 0.500 0.000

Properties
Spin magnetization (μB/cell): 0.0
Energy relative to the elements, uncorrected (eV per atom): -0.455
Electronic total energy (eV/atom): -3.96
Space-group type: No. 123

(25)
# BaAsHBr2

An optimized crystal structure of BaAsHBr2 (PBE, the Alexandria database).

abc: 6.265 6.265 7.722
angles: 90.00 90.00 90.00
Fractional coordinates of all 5 atoms:
Ba1 0.000 0.000 0.000
As1 0.000 0.000 0.500
H1 0.500 0.500 0.500
Br1 0.000 0.500 0.000
Br2 0.500 0.000 0.000

Properties
Spin magnetization (μB/cell): 4.0
Electronic total energy (eV/atom): -2.73
Space-group type: No. 123

(26)
# Ba8As3HBr4

An optimized crystal structure of Ba8As3HBr4 (PBE, the Alexandria database).

abc: 9.535 9.535 9.535
angles: 59.25 59.25 59.25
Fractional coordinates of all 16 atoms:
Ba1 0.236 0.744 0.744
Ba2 0.242 0.242 0.242
Ba3 0.256 0.256 0.764
Ba4 0.256 0.764 0.256
Ba5 0.744 0.236 0.744
Ba6 0.744 0.744 0.236
Ba7 0.758 0.758 0.758
Ba8 0.764 0.256 0.256
As1 0.000 0.000 0.500
As2 0.000 0.500 0.000
As3 0.500 0.000 0.000
H1 0.500 0.500 0.500
Br1 0.000 0.000 0.000
Br2 0.000 0.500 0.500
Br3 0.500 0.000 0.500
Br4 0.500 0.500 0.000

Properties
Spin magnetization (μB/cell): 0.0
Electronic total energy (eV/atom): -3.87
Space-group type: No. 166